LiEr2Os after structural relaxation, computed with PBE-GGA.

Summary:
- polymorph energy (0 for the lowest one) (meV/atom) = 489
- M_tot (μB per formula unit) = 0.0
- DOS at the Fermi energy (states/eV per cell) = 12.68
- DFT total energy (eV for the cell shown) = -64.227

Structure (CIF):
```
data_LiEr2Os
_cell_length_a 3.4379
_cell_length_b 3.4379
_cell_length_c 30.8307
_cell_angle_alpha 90.00
_cell_angle_beta 90.00
_cell_angle_gamma 120.00
_symmetry_space_group_name_H-M 'R -3 m'
_symmetry_Int_Tables_number 166
_symmetry_space_group_name_Hall '-R 3 2"'
loop_
_atom_site_label
_atom_site_fract_x
_atom_site_fract_y
_atom_site_fract_z
Li1 0.0000 0.0000 0.0000
Er1 0.0000 0.0000 0.1033
Os1 0.0000 0.0000 0.5000
```


Li2Er4Os after structural relaxation, computed with PBE-GGA.

Summary:
- M_tot (μB per formula unit) = 0.0
- DOS at the Fermi energy (states/eV per cell) = 16.23
- DFT total energy (eV for the cell shown) = -99.070

Structure (CIF):
```
data_Li2Er4Os
_cell_length_a 4.9332
_cell_length_b 4.9332
_cell_length_c 24.2318
_cell_angle_alpha 90.00
_cell_angle_beta 90.00
_cell_angle_gamma 120.00
_symmetry_space_group_name_H-M 'R -3 m'
_symmetry_Int_Tables_number 166
_symmetry_space_group_name_Hall '-R 3 2"'
loop_
_atom_site_label
_atom_site_fract_x
_atom_site_fract_y
_atom_site_fract_z
Li1 0.0000 0.0000 0.2438
Er1 0.0000 0.0000 0.1275
Er2 0.0000 0.0000 0.3797
Os1 0.0000 0.0000 0.5000
```